[1]
A PBEsol-optimized structure of Ca2P2H4O9, computed with meta-GGA SCAN.

SG: P-1
Calculated total energy: -8.8250 eV per atom

a = 6.667 Å, b = 7.295 Å, c = 8.118 Å
α = 85.06°, β = 77.24°, γ = 72.45°
Positions (direct):
Ca 0.191 0.249 0.010
Ca 0.235 0.649 0.258
Ca 0.765 0.351 0.742
Ca 0.809 0.751 0.990
P 0.241 0.504 0.686
P 0.334 0.788 0.850
P 0.666 0.212 0.150
P 0.759 0.496 0.314
H 0.169 0.278 0.520
H 0.180 0.058 0.365
H 0.197 0.089 0.637
H 0.408 0.986 0.245
H 0.592 0.014 0.755
H 0.803 0.911 0.363
H 0.820 0.942 0.635
H 0.831 0.722 0.480
O 0.021 0.508 0.801
O 0.107 0.166 0.557
O 0.156 0.766 0.998
O 0.249 0.471 0.503
O 0.252 0.001 0.250
O 0.276 0.715 0.687
O 0.325 0.999 0.807
O 0.412 0.360 0.766
O 0.441 0.332 0.131
O 0.559 0.668 0.869
O 0.588 0.640 0.234
O 0.675 0.001 0.193
O 0.724 0.285 0.313
O 0.748 0.999 0.750
O 0.751 0.529 0.497
O 0.844 0.234 0.002
O 0.893 0.834 0.443
O 0.979 0.492 0.199

***

[2]
A PBEsol-optimized structure of TlAuCl, computed with meta-GGA SCAN.

SG: I4mm
E_form (uncorrected): -118 meV/atom

a = 6.033 Å, b = 6.033 Å, c = 6.033 Å
α = 146.66°, β = 146.66°, γ = 47.87°
Positions (direct):
Tl 0.000 0.000 0.000
Au 0.353 0.353 0.000
Cl 0.700 0.700 0.000

***

[3]
A PBEsol-optimized structure of FeCo2, computed with meta-GGA SCAN.

SG: P4/mmm
Calculated total energy: -17.7290 eV per atom

a = 2.794 Å, b = 2.794 Å, c = 8.293 Å
α = 90.00°, β = 90.00°, γ = 90.00°
Positions (direct):
Fe 0.000 0.000 0.169
Fe 0.000 0.000 0.831
Co 0.000 0.000 0.500
Co 0.500 0.500 0.000
Co 0.500 0.500 0.332
Co 0.500 0.500 0.668

***

[4]
A PBEsol-optimized structure of Ca2InBi2, computed with meta-GGA SCAN.

SG: P4/mbm
Calculated total energy: -42.5647 eV per atom

a = 9.143 Å, b = 9.143 Å, c = 3.641 Å
α = 90.00°, β = 90.00°, γ = 90.00°
Positions (direct):
Ca 0.139 0.361 0.000
Ca 0.361 0.861 0.000
Ca 0.639 0.139 0.000
Ca 0.861 0.639 0.000
In 0.000 0.000 0.500
In 0.500 0.500 0.500
Bi 0.162 0.662 0.500
Bi 0.338 0.162 0.500
Bi 0.662 0.838 0.500
Bi 0.838 0.338 0.500

***

[5]
A PBEsol-optimized structure of TlPt2W, computed with meta-GGA SCAN.

SG: I4/mmm
Calculated total energy: -70.1677 eV per atom

a = 4.961 Å, b = 4.961 Å, c = 4.961 Å
α = 132.05°, β = 132.05°, γ = 70.15°
Positions (direct):
Tl 0.000 0.000 0.000
Pt 0.250 0.750 0.500
Pt 0.750 0.250 0.500
W 0.500 0.500 0.000

***

[6]
A PBEsol-optimized structure of Li4Ti2Fe3Sb3O16, computed with meta-GGA SCAN.

SG: Cm
E_form (uncorrected): -1986 meV/atom

a = 6.051 Å, b = 6.051 Å, c = 9.499 Å
α = 90.74°, β = 90.74°, γ = 60.07°
Positions (direct):
Li 0.000 0.000 0.000
Li 0.028 0.028 0.474
Li 0.307 0.307 0.383
Li 0.660 0.660 0.887
Ti 0.305 0.305 0.993
Ti 0.640 0.640 0.474
Fe 0.162 0.162 0.708
Fe 0.344 0.770 0.210
Fe 0.770 0.344 0.210
Sb 0.162 0.656 0.706
Sb 0.656 0.162 0.706
Sb 0.813 0.813 0.206
O 0.004 0.004 0.809
O 0.036 0.463 0.828
O 0.141 0.647 0.083
O 0.162 0.162 0.085
O 0.312 0.312 0.596
O 0.323 0.837 0.595
O 0.463 0.036 0.828
O 0.478 0.478 0.835
O 0.493 0.493 0.364
O 0.510 0.938 0.339
O 0.647 0.141 0.083
O 0.653 0.653 0.090
O 0.830 0.830 0.586
O 0.837 0.323 0.595
O 0.938 0.510 0.339
O 0.985 0.985 0.292

***

[7]
A PBEsol-optimized structure of Li4Ti15O32, computed with meta-GGA SCAN.

SG: R-3m
E_form (uncorrected): -3120 meV/atom

a = 19.462 Å, b = 19.462 Å, c = 19.462 Å
α = 17.46°, β = 17.46°, γ = 17.46°
Positions (direct):
Li 0.094 0.094 0.094
Li 0.156 0.156 0.156
Li 0.844 0.844 0.844
Li 0.906 0.906 0.906
Ti 0.000 0.000 0.000
Ti 0.127 0.127 0.621
Ti 0.127 0.621 0.127
Ti 0.139 0.621 0.621
Ti 0.249 0.249 0.249
Ti 0.379 0.379 0.861
Ti 0.379 0.861 0.379
Ti 0.379 0.873 0.873
Ti 0.621 0.127 0.127
Ti 0.621 0.139 0.621
Ti 0.621 0.621 0.139
Ti 0.751 0.751 0.751
Ti 0.861 0.379 0.379
Ti 0.873 0.379 0.873
Ti 0.873 0.873 0.379
O 0.021 0.581 0.581
O 0.060 0.060 0.060
O 0.081 0.081 0.523
O 0.081 0.523 0.081
O 0.168 0.168 0.731
O 0.168 0.731 0.168
O 0.190 0.190 0.190
O 0.202 0.686 0.686
O 0.269 0.832 0.832
O 0.309 0.309 0.309
O 0.314 0.314 0.798
O 0.314 0.798 0.314
O 0.419 0.419 0.979
O 0.419 0.979 0.419
O 0.442 0.442 0.442
O 0.477 0.919 0.919
O 0.523 0.081 0.081
O 0.558 0.558 0.558
O 0.581 0.021 0.581
O 0.581 0.581 0.021
O 0.686 0.202 0.686
O 0.686 0.686 0.202
O 0.691 0.691 0.691
O 0.731 0.168 0.168
O 0.798 0.314 0.314
O 0.810 0.810 0.810
O 0.832 0.269 0.832
O 0.832 0.832 0.269
O 0.919 0.477 0.919
O 0.919 0.919 0.477
O 0.940 0.940 0.940
O 0.979 0.419 0.419

***

[8]
A PBEsol-optimized structure of BaScIn2, computed with meta-GGA SCAN.

SG: P4/mmm
Calculated total energy: -30.6834 eV per atom

a = 3.752 Å, b = 3.752 Å, c = 7.954 Å
α = 90.00°, β = 90.00°, γ = 90.00°
Positions (direct):
Ba 0.000 0.000 0.000
Sc 0.000 0.000 0.500
In 0.500 0.500 0.305
In 0.500 0.500 0.695